{"formula": "MgTiAs2O7", "functional": "PBEsol", "state": "relaxed", "magnetic_moment_mub_per_fu": 0.00, "space_group": "P2_1/c, No. 14", "raw_formation_energy_ev_per_atom": -1.95, "lattice": [[-4.2270, -6.1610, 3.7712], [5.9941, -5.4810, -2.2356], [5.2821, 3.1094, 6.5390]], "species": ["O", "O", "O", "O", "O", "O", "O", "Ti", "Mg", "O", "O", "Ti", "Mg", "Ti", "O", "As", "O", "O", "As", "As", "Ti", "As", "As", "O", "O", "O", "O", "O", "O", "O", "O", "As", "As", "O", "As", "O", "O", "Mg", "O", "O", "Mg", "O", "O", "O"], "frac_coords": [[0.0828, 0.4176, 0.6075], [0.3647, 0.9169, 0.3165], [0.8635, 0.8956, 0.8882], [0.6412, 0.7763, 0.2787], [0.3635, 0.6044, 0.3882], [0.4172, 0.9176, 0.8925], [0.1365, 0.1044, 0.1118], [0.6518, 0.4883, 0.7991], [0.0394, 0.3763, 0.3764], [0.9172, 0.5824, 0.3925], [0.6961, 0.1563, 0.4235], [0.8482, 0.9883, 0.7009], [0.4606, 0.8763, 0.1236], [0.1518, 0.0117, 0.2991], [0.1353, 0.4169, 0.1835], [0.8305, 0.7242, 0.2650], [0.5828, 0.0824, 0.1075], [0.1961, 0.3437, 0.9235], [0.0343, 0.2828, 0.0314], [0.1695, 0.2758, 0.7350], [0.3482, 0.5117, 0.2009], [0.3305, 0.7758, 0.7650], [0.4657, 0.7828, 0.4686], [0.3588, 0.2237, 0.7213], [0.8039, 0.6563, 0.0765], [0.1412, 0.7237, 0.7787], [0.5295, 0.3747, 0.2253], [0.6499, 0.3344, 0.9216], [0.0295, 0.1253, 0.7253], [0.4705, 0.6253, 0.7747], [0.8647, 0.5831, 0.8165], [0.6695, 0.2242, 0.2350], [0.9657, 0.7172, 0.9686], [0.6365, 0.3956, 0.6118], [0.5343, 0.2172, 0.5314], [0.3501, 0.6656, 0.0784], [0.3039, 0.8437, 0.5765], [0.5394, 0.1237, 0.8764], [0.6353, 0.0831, 0.6835], [0.1499, 0.1656, 0.4216], [0.9606, 0.6237, 0.6236], [0.8588, 0.2763, 0.2213], [0.9705, 0.8747, 0.2747], [0.8501, 0.8344, 0.5784]]}